[1]
BaAl2Sb2 PBE relaxed; crystal system = tetragonal; D(E_F) = 2.6 states/eV/f.u.; space-group type = P4/mbm (127); uncorrected formation energy = -0.21 eV per atom
1.0
8.3565 0.0000 0.0000
0.0000 8.3565 0.0000
0.0000 0.0000 3.8888
Ba Al Sb
2 4 4
direct
0.0000 0.0000 0.0000
0.5000 0.5000 0.0000
0.1142 0.3858 0.0000
0.3858 0.8858 0.0000
0.6142 0.1142 0.0000
0.8858 0.6142 0.0000
0.1646 0.6646 0.5000
0.3354 0.1646 0.5000
0.6646 0.8354 0.5000
0.8354 0.3354 0.5000



[2]
BaAlSb2 PBE relaxed; crystal system = tetragonal; D(E_F) = 3.4 states/eV/f.u.; space-group type = I-4m2 (119); uncorrected formation energy = -0.17 eV per atom
1.0
4.7821 0.0000 0.0000
0.0000 4.7821 0.0000
0.0000 0.0000 10.5203
Ba Al Sb
2 2 4
direct
0.0000 0.0000 0.0000
0.5000 0.5000 0.5000
0.0000 0.5000 0.2500
0.5000 0.0000 0.7500
0.0000 0.0000 0.5000
0.0000 0.5000 0.7500
0.5000 0.0000 0.2500
0.5000 0.5000 0.0000



[3]
BaAlSb PBE relaxed; crystal system = cubic; D(E_F) = 0.1 states/eV/f.u.; space-group type = F-43m (216); uncorrected formation energy = 0.04 eV per atom
1.0
7.8132 0.0000 0.0000
0.0000 7.8132 0.0000
0.0000 0.0000 7.8132
Ba Al Sb
4 4 4
direct
0.0000 0.0000 0.0000
0.0000 0.5000 0.5000
0.5000 0.0000 0.5000
0.5000 0.5000 0.0000
0.2500 0.2500 0.2500
0.2500 0.7500 0.7500
0.7500 0.2500 0.7500
0.7500 0.7500 0.2500
0.2500 0.2500 0.7500
0.2500 0.7500 0.2500
0.7500 0.2500 0.2500
0.7500 0.7500 0.7500



[4]
BaAlSb PBE relaxed; crystal system = trigonal; D(E_F) = 0.3 states/eV/f.u.; space-group type = P3m1 (156); uncorrected formation energy = -0.55 eV per atom
1.0
4.6037 0.0000 0.0000
-2.3019 3.9870 0.0000
0.0000 0.0000 5.4663
Ba Al Sb
1 1 1
direct
0.0000 0.0000 0.0000
0.3333 0.6667 0.6184
0.6667 0.3333 0.4405



[5]
BaAlSbSe4 PBE relaxed; crystal system = monoclinic; D(E_F) = 0.0 states/eV/f.u.; space-group type = P2_1/m (11); uncorrected formation energy = -0.97 eV per atom
1.0
7.3601 0.0000 0.0000
0.0000 7.1263 0.0000
-2.7464 0.0000 8.4632
Ba Al Sb Se
2 2 2 8
direct
0.2372 0.2500 0.4530
0.7628 0.7500 0.5470
0.2413 0.7500 0.1845
0.7587 0.2500 0.8155
0.2703 0.2500 0.0084
0.7297 0.7500 0.9916
0.0468 0.7500 0.9106
0.0893 0.7500 0.3789
0.4665 0.0057 0.2257
0.4665 0.4943 0.2257
0.5335 0.5057 0.7743
0.5335 0.9943 0.7743
0.9107 0.2500 0.6211
0.9532 0.2500 0.0894



[6]
BaAlTc2Sb PBE relaxed; crystal system = tetragonal; D(E_F) = 6.6 states/eV/f.u.; space-group type = P4/mmm (123); uncorrected formation energy = 1.05 eV per atom
1.0
5.0650 0.0000 0.0000
0.0000 5.0650 0.0000
0.0000 0.0000 5.3719
Ba Al Tc Sb
1 1 2 1
direct
0.0000 0.0000 0.0000
0.5000 0.5000 0.0000
0.0000 0.5000 0.5000
0.5000 0.0000 0.5000
0.5000 0.5000 0.5000



[7]
BaAlSb2Te PBE relaxed; crystal system = tetragonal; D(E_F) = 5.1 states/eV/f.u.; space-group type = P4/mmm (123); uncorrected formation energy = -0.32 eV per atom; ΔE to the lowest computed polymorph = 0.000 eV per atom
1.0
5.3736 0.0000 0.0000
0.0000 5.3736 0.0000
0.0000 0.0000 5.7000
Ba Al Sb Te
1 1 2 1
direct
0.0000 0.0000 0.0000
0.5000 0.5000 0.5000
0.0000 0.5000 0.5000
0.5000 0.0000 0.5000
0.5000 0.5000 0.0000



[8]
Ba2AlSbTe5 PBE relaxed; crystal system = orthorhombic; space-group type = Cmc2_1 (36); uncorrected formation energy = -0.97 eV per atom
1.0
2.2660 -10.3970 0.0000
2.2660 10.3970 0.0000
0.0000 0.0000 14.0697
Ba Al Sb Te
4 2 2 10
direct
0.1129 0.8871 0.5000
0.1256 0.8744 0.1275
0.8744 0.1256 0.6275
0.8871 0.1129 0.0000
0.4331 0.5669 0.2536
0.5669 0.4331 0.7536
0.2121 0.7879 0.8412
0.7879 0.2121 0.3412
0.0495 0.9505 0.8604
0.2818 0.7182 0.4865
0.3128 0.6872 0.1861
0.3514 0.6486 0.8158
0.4998 0.5002 0.0963
0.5002 0.4998 0.5963
0.6486 0.3514 0.3158
0.6872 0.3128 0.6861
0.7182 0.2818 0.9865
0.9505 0.0495 0.3604



[9]
BaAlSb2Te PBE relaxed; crystal system = tetragonal; D(E_F) = 7.8 states/eV/f.u.; space-group type = P4/mmm (123); uncorrected formation energy = 0.83 eV per atom; ΔE to the lowest computed polymorph = 1.146 eV per atom
1.0
6.3107 0.0000 0.0000
0.0000 6.3107 0.0000
0.0000 0.0000 6.4107
Ba Al Sb Te
1 1 2 1
direct
0.0000 0.0000 0.0000
0.5000 0.5000 0.5000
0.0000 0.5000 0.0000
0.5000 0.0000 0.0000
0.0000 0.0000 0.5000



[10]
BaAlZn2Sb PBE relaxed; crystal system = tetragonal; D(E_F) = 2.4 states/eV/f.u.; space-group type = P4/mmm (123); uncorrected formation energy = 0.21 eV per atom
1.0
5.4059 0.0000 0.0000
0.0000 5.4059 0.0000
0.0000 0.0000 5.3824
Ba Al Zn Sb
1 1 2 1
direct
0.0000 0.0000 0.0000
0.5000 0.5000 0.0000
0.0000 0.5000 0.5000
0.5000 0.0000 0.5000
0.5000 0.5000 0.5000



[11]
BaScAl2 PBE relaxed; crystal system = tetragonal; D(E_F) = 5.6 states/eV/f.u.; space-group type = I-42d (122); calculated formation energy = 26 kJ/mol of atoms; ΔE to the lowest computed polymorph = 0.478 eV per atom
1.0
5.2931 0.0000 0.0000
0.0000 5.2931 0.0000
0.0000 0.0000 19.8040
Ba Sc Al
4 4 8
direct
0.0000 0.0000 0.0000
0.0000 0.5000 0.2500
0.5000 0.0000 0.7500
0.5000 0.5000 0.5000
0.0000 0.0000 0.5000
0.0000 0.5000 0.7500
0.5000 0.0000 0.2500
0.5000 0.5000 0.0000
0.0322 0.2500 0.6250
0.2500 0.5322 0.8750
0.2500 0.9678 0.3750
0.4678 0.2500 0.1250
0.5322 0.7500 0.1250
0.7500 0.0322 0.3750
0.7500 0.4678 0.8750
0.9678 0.7500 0.6250



[12]
BaScAl2 PBE relaxed; crystal system = monoclinic; D(E_F) = 2.1 states/eV/f.u.; space-group type = C2/m (12); calculated formation energy = 5 kJ/mol of atoms; ΔE to the lowest computed polymorph = 0.265 eV per atom
1.0
6.8846 0.0000 0.0000
0.0000 9.1671 0.0000
-0.0104 0.0000 3.2485
Ba Sc Al
2 2 4
direct
0.0000 0.0000 0.0000
0.5000 0.5000 0.0000
0.0000 0.5000 0.0000
0.5000 0.0000 0.0000
0.2500 0.2500 0.5000
0.2500 0.7500 0.5000
0.7500 0.2500 0.5000
0.7500 0.7500 0.5000



> What is the formula in the ninth record?

BaAlSb2Te



Please write out number 8 again, unchanged.
Ba2AlSbTe5 PBE relaxed; crystal system = orthorhombic; space-group type = Cmc2_1 (36); uncorrected formation energy = -0.97 eV per atom
1.0
2.2660 -10.3970 0.0000
2.2660 10.3970 0.0000
0.0000 0.0000 14.0697
Ba Al Sb Te
4 2 2 10
direct
0.1129 0.8871 0.5000
0.1256 0.8744 0.1275
0.8744 0.1256 0.6275
0.8871 0.1129 0.0000
0.4331 0.5669 0.2536
0.5669 0.4331 0.7536
0.2121 0.7879 0.8412
0.7879 0.2121 0.3412
0.0495 0.9505 0.8604
0.2818 0.7182 0.4865
0.3128 0.6872 0.1861
0.3514 0.6486 0.8158
0.4998 0.5002 0.0963
0.5002 0.4998 0.5963
0.6486 0.3514 0.3158
0.6872 0.3128 0.6861
0.7182 0.2818 0.9865
0.9505 0.0495 0.3604